Entry from Alexandria: a relaxed structure of La3CoICl (PBE-GGA).

The value obtained for the uncorrected energy is -5.14 eV/atom. As for the uncorrected formation energy: -0.930 eV per atom.

CIF file:
```
data_La3CoICl
_cell_length_a 9.7928
_cell_length_b 4.1520
_cell_length_c 9.9613
_cell_angle_alpha 90.00
_cell_angle_beta 94.81
_cell_angle_gamma 90.00
_space_group_name_H-M_alt 'P 1'
_space_group_IT_number 1
_space_group_name_Hall 'P 1'
loop_
_atom_site_label
_atom_site_fract_x
_atom_site_fract_y
_atom_site_fract_z
La1 0.0775 0.2500 0.3671
La2 0.1435 0.2500 0.9081
La3 0.3229 0.7500 0.6471
La4 0.6771 0.2500 0.3529
La5 0.8565 0.7500 0.0919
La6 0.9225 0.7500 0.6329
Co1 0.1299 0.2500 0.6496
Co2 0.8701 0.7500 0.3504
I1 0.3811 0.7500 0.3240
I2 0.6189 0.2500 0.6760
Cl1 0.3558 0.7500 0.9358
Cl2 0.6442 0.2500 0.0642
```